Here is crystalline ZrZnPS2 at its relaxed geometry from Alexandria via LeMat-Bulk. Energies are from PBE.

Computed properties:
E_form (uncorrected) (eV/f.u.): -0.3
Electronic total energy (eV per atom): -4.76
Space group: P4/mmm (123)
Offset from the most stable computed form (meV per atom): 0.0
Magnetization (μB/cell): 0.00

abc: 4.927 4.927 5.216
angles: 90.00 90.00 90.00
Atoms (fractional coordinates):
Zr 0.000 0.000 0.000
Zn 0.500 0.500 0.500
P 0.000 0.000 0.500
S 0.000 0.500 0.000
S 0.500 0.000 0.000